--- w ---
Here is an optimized crystal structure of TaAs2I from Alexandria. Energies are from PBE-GGA.

POSCAR file:
```
TaAs2I
1.0
6.868 0.000 0.000
0.000 6.868 0.000
0.000 0.000 6.868
Ta As I
4 8 4
direct
0.000 0.000 0.000
0.000 0.500 0.500
0.500 0.000 0.500
0.500 0.500 0.000
0.250 0.250 0.250
0.250 0.250 0.750
0.250 0.750 0.250
0.250 0.750 0.750
0.750 0.250 0.250
0.750 0.250 0.750
0.750 0.750 0.250
0.750 0.750 0.750
0.000 0.000 0.500
0.000 0.500 0.000
0.500 0.000 0.000
0.500 0.500 0.500
```


--- x ---
Here is an optimized crystal structure of TaAs2I from Alexandria. Energies are from PBE-GGA.

POSCAR file:
```
TaAs2I
1.0
6.690 0.000 0.000
0.000 6.690 0.000
0.000 0.000 11.842
Ta As I
4 8 4
direct
0.000 0.000 0.000
0.000 0.500 0.250
0.500 0.000 0.750
0.500 0.500 0.500
0.155 0.250 0.125
0.250 0.655 0.375
0.250 0.845 0.875
0.345 0.250 0.625
0.655 0.750 0.625
0.750 0.155 0.875
0.750 0.345 0.375
0.845 0.750 0.125
0.000 0.000 0.500
0.000 0.500 0.750
0.500 0.000 0.250
0.500 0.500 0.000
```


The data favor x; the next most stable structure lies 0.334 eV/atom above it.


--- w ---
Here is an optimized crystal structure of TcAs2I from Alexandria. Energies are from PBE-GGA.

POSCAR file:
```
TcAs2I
1.0
6.802 0.000 0.000
0.000 6.802 0.000
0.000 0.000 6.802
Tc As I
4 8 4
direct
0.000 0.000 0.000
0.000 0.500 0.500
0.500 0.000 0.500
0.500 0.500 0.000
0.250 0.250 0.250
0.250 0.250 0.750
0.250 0.750 0.250
0.250 0.750 0.750
0.750 0.250 0.250
0.750 0.250 0.750
0.750 0.750 0.250
0.750 0.750 0.750
0.000 0.000 0.500
0.000 0.500 0.000
0.500 0.000 0.000
0.500 0.500 0.500
```


--- x ---
Here is an optimized crystal structure of TcAs2I from Alexandria. Energies are from PBE-GGA.

POSCAR file:
```
TcAs2I
1.0
6.616 0.000 0.000
0.000 6.616 0.000
0.000 0.000 10.838
Tc As I
4 8 4
direct
0.000 0.000 0.000
0.000 0.500 0.250
0.500 0.000 0.750
0.500 0.500 0.500
0.145 0.250 0.125
0.250 0.645 0.375
0.250 0.855 0.875
0.355 0.250 0.625
0.645 0.750 0.625
0.750 0.145 0.875
0.750 0.355 0.375
0.855 0.750 0.125
0.000 0.000 0.500
0.000 0.500 0.750
0.500 0.000 0.250
0.500 0.500 0.000
```


The data favor x; the next most stable structure lies 0.622 eV/atom above it.


--- w ---
Here is an optimized crystal structure of Tc3AsI from Alexandria. Energies are from PBE-GGA.

POSCAR file:
```
Tc3AsI
1.0
4.831 0.000 0.000
0.000 4.831 0.000
0.000 0.000 4.831
Tc As I
3 1 1
direct
0.000 0.000 0.500
0.000 0.500 0.000
0.500 0.000 0.000
0.500 0.500 0.500
0.000 0.000 0.000
```


--- x ---
Here is an optimized crystal structure of Tc3AsI from Alexandria. Energies are from PBE-GGA.

POSCAR file:
```
Tc3AsI
1.0
4.645 0.000 0.000
0.000 4.645 0.000
0.000 0.000 4.645
Tc As I
3 1 1
direct
0.000 0.000 0.500
0.000 0.500 0.000
0.500 0.000 0.000
0.000 0.000 0.000
0.500 0.500 0.500
```


The data favor x; the next most stable structure lies 0.789 eV/atom above it.


--- w ---
Here is an optimized crystal structure of TeAsI2 from Alexandria. Energies are from PBE-GGA.

POSCAR file:
```
TeAsI2
1.0
7.726 0.000 0.000
0.000 7.726 0.000
0.000 0.000 7.726
Te As I
4 4 8
direct
0.000 0.000 0.000
0.000 0.500 0.500
0.500 0.000 0.500
0.500 0.500 0.000
0.000 0.000 0.500
0.000 0.500 0.000
0.500 0.000 0.000
0.500 0.500 0.500
0.250 0.250 0.250
0.250 0.250 0.750
0.250 0.750 0.250
0.250 0.750 0.750
0.750 0.250 0.250
0.750 0.250 0.750
0.750 0.750 0.250
0.750 0.750 0.750
```


--- x ---
Here is an optimized crystal structure of TeAsI2 from Alexandria. Energies are from PBE-GGA.

POSCAR file:
```
TeAsI2
1.0
11.484 0.000 0.000
0.000 11.484 0.000
0.000 0.000 5.532
Te As I
4 4 8
direct
0.000 0.000 0.000
0.000 0.500 0.250
0.500 0.000 0.750
0.500 0.500 0.500
0.000 0.000 0.500
0.000 0.500 0.750
0.500 0.000 0.250
0.500 0.500 0.000
0.001 0.750 0.625
0.250 0.001 0.375
0.250 0.499 0.875
0.499 0.750 0.125
0.501 0.250 0.125
0.750 0.501 0.875
0.750 0.999 0.375
0.999 0.250 0.625
```


--- y ---
Here is an optimized crystal structure of TeAsI2 from Alexandria. Energies are from PBE-GGA.

POSCAR file:
```
TeAsI2
1.0
4.141 0.000 0.000
-0.963 6.804 0.000
-1.818 -0.785 6.773
Te As I
1 1 2
direct
0.000 0.000 0.000
0.477 0.232 0.885
0.245 0.600 0.944
0.280 0.142 0.499
```


The data favor y; the next most stable structure lies 0.278 eV/atom above it.